Density functional theory data (PBE) for an optimized crystal structure of ZrSb2Ru.

Cell: 4.319 4.319 8.758 Å, 90.00 90.00 90.00°
Space group I-4m2 (No. 119)
Symmetry-distinct sites (fractional):
Zr 0.000 0.000 0.000 x2
Sb 0.000 0.000 0.500 x2
Sb 0.000 0.500 0.250 x2
Ru 0.000 0.500 0.750 x2

## Properties
As for the formation energy without anion corrections: -0.41 eV/f.u. Its total magnetization is 0.00 Bohr magnetons per cell.


Density functional theory data (PBE) for an optimized crystal structure of Zr2SbRu.

Cell: 3.316 3.316 7.403 Å, 90.00 90.00 90.00°
Space group P4mm (No. 99)
Symmetry-distinct sites (fractional):
Zr 0.000 0.000 0.000 x1
Zr 0.500 0.500 0.294 x1
Sb 0.500 0.500 0.723 x1
Ru 0.000 0.000 0.510 x1

## Properties
As for the formation energy without anion corrections: -1.00 eV/f.u. Its total magnetization is 0.00 Bohr magnetons per cell.


Density functional theory data (PBE) for an optimized crystal structure of Zr2SbRu2.

Cell: 7.558 7.558 3.324 Å, 90.00 90.00 90.00°
Space group P4/mbm (No. 127)
Symmetry-distinct sites (fractional):
Zr 0.161 0.339 0.000 x4
Sb 0.000 0.000 0.500 x2
Ru 0.136 0.636 0.500 x4

## Properties
As for the formation energy without anion corrections: -1.91 eV/f.u. Its total magnetization is 0.00 Bohr magnetons per cell.


Density functional theory data (PBE) for an optimized crystal structure of Zr2SbRu.

Cell: 3.4976 3.4976 24.5020 Å, 90.00 90.00 120.00°
Space group R-3m (No. 166, hexagonal axes)
Symmetry-distinct sites (fractional):
Zr 0.0000 0.0000 0.2394 x6
Sb 0.0000 0.0000 0.0000 x3
Ru 0.0000 0.0000 0.5000 x3

## Properties
As for the formation energy without anion corrections: -1.05 eV/f.u. Its total magnetization is 0.00 Bohr magnetons per cell.


Density functional theory data (PBE) for an optimized crystal structure of ZrSb4Ru.

Cell: 8.454 8.454 8.454 Å, 90.00 90.00 90.00°
Space group F-43m (No. 216)
Symmetry-distinct sites (fractional):
Zr 0.000 0.000 0.000 x4
Sb 0.125 0.125 0.375 x16
Ru 0.250 0.250 0.750 x4

## Properties
As for the formation energy without anion corrections: 4.75 eV/f.u. Its total magnetization is 4.46 Bohr magnetons per cell.


Density functional theory data (PBE) for an optimized crystal structure of Zr2SbRu.

Cell: 4.024 4.024 9.818 Å, 90.00 90.00 90.00°
Space group I-4m2 (No. 119)
Symmetry-distinct sites (fractional):
Zr 0.000 0.000 0.000 x2
Zr 0.000 0.500 0.250 x2
Sb 0.000 0.000 0.500 x2
Ru 0.000 0.500 0.750 x2

## Properties
As for the formation energy without anion corrections: -1.66 eV/f.u. Its total magnetization is 0.00 Bohr magnetons per cell.


Density functional theory data (PBE) for an optimized crystal structure of Zr2SbRu.

Cell: 4.230 3.675 10.696 Å, 90.00 90.00 90.00°
Space group Amm2 (No. 38)
Symmetry-distinct sites (fractional):
Zr 0.000 0.000 0.000 x2
Zr 0.500 0.000 0.302 x2
Sb 0.000 0.000 0.722 x2
Ru 0.500 0.000 0.547 x2

## Properties
As for the formation energy without anion corrections: -2.05 eV/f.u. Its total magnetization is 0.00 Bohr magnetons per cell.


Density functional theory data (PBE) for an optimized crystal structure of Zr2SbRu.

Cell: 4.352 4.352 8.314 Å, 90.00 90.00 90.00°
Space group I4/mmm (No. 139)
Symmetry-distinct sites (fractional):
Zr 0.000 0.500 0.250 x4
Sb 0.000 0.000 0.000 x2
Ru 0.000 0.000 0.500 x2

## Properties
As for the formation energy without anion corrections: -1.59 eV/f.u. Its total magnetization is 0.00 Bohr magnetons per cell.


Among the records above, which one has the lowest formation energy without anion corrections?
number 7